A) Compound: KMgMo
Source: Alexandria via LeMat-Bulk
Functional: GGA-PBE
Structure: relaxed

The structure in CIF format:
```
data_KMgMo
_cell_length_a 2.778
_cell_length_b 4.806
_cell_length_c 12.437
_cell_angle_alpha 90.00
_cell_angle_beta 90.00
_cell_angle_gamma 90.00
_space_group_name_H-M_alt 'I m m 2'
_space_group_IT_number 44
loop_
_space_group_symop_operation_xyz
'x,y,z'
'-x,-y,z'
'-x,y,z'
'x,-y,z'
'x+1/2,y+1/2,z+1/2'
'-x+1/2,-y+1/2,z+1/2'
'-x+1/2,y+1/2,z+1/2'
'x+1/2,-y+1/2,z+1/2'
loop_
_atom_site_label
_atom_site_type_symbol
_atom_site_fract_x
_atom_site_fract_y
_atom_site_fract_z
K1 K 0.000 0.000 0.000
Mg1 Mg 0.000 0.000 0.717
Mo1 Mo 0.000 0.000 0.285
```

Values from the calculation:
The calculation puts the magnetization at 1.9 μB per formula unit.



B) Compound: KMgMo
Source: Alexandria via LeMat-Bulk
Functional: GGA-PBE
Structure: relaxed

The structure in CIF format:
```
data_KMgMo
_cell_length_a 3.652
_cell_length_b 3.652
_cell_length_c 13.025
_cell_angle_alpha 90.00
_cell_angle_beta 90.00
_cell_angle_gamma 90.00
_space_group_name_H-M_alt 'I 4 m m'
_space_group_IT_number 107
_space_group_name_Hall 'I 4 -2'
loop_
_atom_site_label
_atom_site_type_symbol
_atom_site_fract_x
_atom_site_fract_y
_atom_site_fract_z
K1 K 0.000 0.000 0.000
Mg1 Mg 0.000 0.000 0.715
Mo1 Mo 0.000 0.000 0.296
```

Values from the calculation:
The calculation puts the magnetization at 3.0 μB per formula unit.



C) Compound: KMgMo
Source: Alexandria via LeMat-Bulk
Functional: GGA-PBE
Structure: relaxed

The structure in CIF format:
```
data_KMgMo
_cell_length_a 2.9793
_cell_length_b 2.9793
_cell_length_c 8.8304
_cell_angle_alpha 90.00
_cell_angle_beta 90.00
_cell_angle_gamma 120.00
_space_group_name_H-M_alt 'P 3 m 1'
_space_group_IT_number 156
loop_
_space_group_symop_operation_xyz
'x,y,z'
'-y,x-y,z'
'-x+y,-x,z'
'-y,-x,z'
'-x+y,y,z'
'x,x-y,z'
loop_
_atom_site_label
_atom_site_type_symbol
_atom_site_fract_x
_atom_site_fract_y
_atom_site_fract_z
K1 K 0.0000 0.0000 0.0000
Mg1 Mg 0.3333 0.6667 0.3847
Mo1 Mo 0.6667 0.3333 0.6535
```

Values from the calculation:
The calculation puts the magnetization at 0.0 μB per formula unit.



D) Compound: KMgMo
Source: Alexandria via LeMat-Bulk
Functional: GGA-PBE
Structure: relaxed

The structure in CIF format:
```
data_KMgMo
_cell_length_a 2.863
_cell_length_b 2.863
_cell_length_c 17.209
_cell_angle_alpha 90.00
_cell_angle_beta 90.00
_cell_angle_gamma 90.00
_space_group_name_H-M_alt 'I 4 m m'
_space_group_IT_number 107
_space_group_name_Hall 'I 4 -2'
loop_
_atom_site_label
_atom_site_type_symbol
_atom_site_fract_x
_atom_site_fract_y
_atom_site_fract_z
K1 K 0.000 0.000 0.000
Mg1 Mg 0.000 0.000 0.297
Mo1 Mo 0.000 0.000 0.674
```

Values from the calculation:
The calculation puts the magnetization at 0.0 μB per formula unit.



Question: which arrangement is favored energetically? Ranking from most to least stable: D), C), A), B).



A) Compound: KMgMo
Source: Alexandria via LeMat-Bulk
Functional: GGA-PBE
Structure: relaxed

The structure in CIF format:
```
data_KMgMo
_cell_length_a 7.814
_cell_length_b 7.814
_cell_length_c 7.814
_cell_angle_alpha 90.00
_cell_angle_beta 90.00
_cell_angle_gamma 90.00
_space_group_name_H-M_alt 'F -4 3 m'
_space_group_IT_number 216
_space_group_name_Hall 'F -4 2 3'
loop_
_atom_site_label
_atom_site_type_symbol
_atom_site_fract_x
_atom_site_fract_y
_atom_site_fract_z
K1 K 0.000 0.000 0.000
Mg1 Mg 0.250 0.250 0.750
Mo1 Mo 0.250 0.250 0.250
```

Values from the calculation:
The calculation puts the magnetization at 5.0 μB per formula unit.



B) Compound: KMgMo
Source: Alexandria via LeMat-Bulk
Functional: GGA-PBE
Structure: relaxed

The structure in CIF format:
```
data_KMgMo
_cell_length_a 7.527
_cell_length_b 7.527
_cell_length_c 7.527
_cell_angle_alpha 90.00
_cell_angle_beta 90.00
_cell_angle_gamma 90.00
_space_group_name_H-M_alt 'F -4 3 m'
_space_group_IT_number 216
_space_group_name_Hall 'F -4 2 3'
loop_
_atom_site_label
_atom_site_type_symbol
_atom_site_fract_x
_atom_site_fract_y
_atom_site_fract_z
K1 K 0.000 0.000 0.000
Mg1 Mg 0.250 0.250 0.250
Mo1 Mo 0.000 0.000 0.500
```

Values from the calculation:
The calculation puts the magnetization at 4.6 μB per formula unit.



Question: which arrangement is favored energetically? Ranking from most to least stable: B), A).



A) Compound: KMg3Mo
Source: Alexandria via LeMat-Bulk
Functional: GGA-PBE
Structure: relaxed

The structure in CIF format:
```
data_KMg3Mo
_cell_length_a 5.957
_cell_length_b 5.957
_cell_length_c 5.957
_cell_angle_alpha 90.00
_cell_angle_beta 90.00
_cell_angle_gamma 90.00
_space_group_name_H-M_alt 'P m -3 m'
_space_group_IT_number 221
_space_group_name_Hall '-P 4 2 3'
loop_
_atom_site_label
_atom_site_type_symbol
_atom_site_fract_x
_atom_site_fract_y
_atom_site_fract_z
K1 K 0.000 0.000 0.000
Mg1 Mg 0.000 0.000 0.500
Mo1 Mo 0.500 0.500 0.500
```

Values from the calculation:
The calculation puts the magnetization at 5.1 μB per formula unit.



B) Compound: KMg3Mo
Source: Alexandria via LeMat-Bulk
Functional: GGA-PBE
Structure: relaxed

The structure in CIF format:
```
data_KMg3Mo
_cell_length_a 5.463
_cell_length_b 5.463
_cell_length_c 5.463
_cell_angle_alpha 90.00
_cell_angle_beta 90.00
_cell_angle_gamma 90.00
_space_group_name_H-M_alt 'P m -3 m'
_space_group_IT_number 221
_space_group_name_Hall '-P 4 2 3'
loop_
_atom_site_label
_atom_site_type_symbol
_atom_site_fract_x
_atom_site_fract_y
_atom_site_fract_z
K1 K 0.000 0.000 0.000
Mg1 Mg 0.000 0.500 0.500
Mo1 Mo 0.500 0.500 0.500
```

Values from the calculation:
The calculation puts the magnetization at 2.9 μB per formula unit.



Question: which arrangement is favored energetically? Ranking from most to least stable: B), A).



A) Compound: KMg14Mo
Source: Alexandria via LeMat-Bulk
Functional: GGA-PBE
Structure: relaxed

The structure in CIF format:
```
data_KMg14Mo
_cell_length_a 10.431
_cell_length_b 6.504
_cell_length_c 11.069
_cell_angle_alpha 90.00
_cell_angle_beta 90.00
_cell_angle_gamma 90.00
_space_group_name_H-M_alt 'A m m 2'
_space_group_IT_number 38
loop_
_space_group_symop_operation_xyz
'x,y,z'
'-x,-y,z'
'-x,y,z'
'x,-y,z'
'x,y+1/2,z+1/2'
'-x,-y+1/2,z+1/2'
'-x,y+1/2,z+1/2'
'x,-y+1/2,z+1/2'
loop_
_atom_site_label
_atom_site_type_symbol
_atom_site_fract_x
_atom_site_fract_y
_atom_site_fract_z
K1 K 0.000 0.000 0.000
Mg1 Mg 0.000 0.248 0.753
Mg2 Mg 0.230 0.000 0.351
Mg3 Mg 0.248 0.238 0.593
Mg4 Mg 0.266 0.000 0.838
Mg5 Mg 0.500 0.000 0.014
Mg6 Mg 0.500 0.000 0.514
Mg7 Mg 0.500 0.243 0.262
Mo1 Mo 0.000 0.000 0.519
```

Values from the calculation:
The calculation puts the magnetization at 2.3 μB per formula unit.



B) Compound: KMg14Mo
Source: Alexandria via LeMat-Bulk
Functional: GGA-PBE
Structure: relaxed

The structure in CIF format:
```
data_KMg14Mo
_cell_length_a 6.4632
_cell_length_b 6.4632
_cell_length_c 10.3623
_cell_angle_alpha 90.00
_cell_angle_beta 90.00
_cell_angle_gamma 120.00
_space_group_name_H-M_alt 'P -6 m 2'
_space_group_IT_number 187
_space_group_name_Hall 'P -6 2'
loop_
_atom_site_label
_atom_site_type_symbol
_atom_site_fract_x
_atom_site_fract_y
_atom_site_fract_z
K1 K 0.0000 0.0000 0.0000
Mg1 Mg 0.0109 0.5054 0.0000
Mg2 Mg 0.1638 0.3276 0.2740
Mg3 Mg 0.5043 0.0086 0.5000
Mg4 Mg 0.6667 0.3333 0.2403
Mo1 Mo 0.0000 0.0000 0.5000
```

Values from the calculation:
The calculation puts the magnetization at 1.6 μB per formula unit.



Question: which arrangement is favored energetically? Ranking from most to least stable: B), A).